Record 1
MoOs2Se (PBEsol, relaxed); DOS at the Fermi energy = 0.79 states/eV/atom; symmetry = P4mm, No. 99
1.0
2.916 0.000 0.000
0.000 2.916 0.000
0.000 0.000 6.777
Os Mo Se
2 1 1
direct
0.500 0.500 0.261
0.000 0.000 0.999
0.500 0.500 0.735
0.000 0.000 0.505



Record 2
Mo2OsSe (PBEsol, relaxed); DOS at the Fermi energy = 0.70 states/eV/atom; symmetry = Pmmm, No. 47
1.0
-2.094 -1.901 0.557
2.570 -2.201 2.146
-1.286 2.670 4.280
Os Mo Se
1 2 1
direct
0.500 0.500 0.000
0.000 0.000 0.757
0.000 0.000 0.243
0.500 0.500 0.500



Record 3
MoOsSe2 (PBEsol, relaxed); DOS at the Fermi energy = 0.84 states/eV/atom; symmetry = I-4m2, No. 119
1.0
3.966 0.000 0.000
0.000 3.966 0.000
-1.983 -1.983 3.969
Mo Se Os
1 2 1
direct
0.500 0.500 0.000
0.000 0.000 0.000
0.750 0.250 0.500
0.250 0.750 0.500



Record 4
MoOsSe2 (PBEsol, relaxed); DOS at the Fermi energy = 0.48 states/eV/atom; symmetry = P4mm, No. 99
1.0
-0.619 -0.042 -2.882
-1.329 -2.612 0.323
-6.833 3.653 1.416
Mo Se Os
1 2 1
direct
0.000 0.000 0.502
0.500 0.500 0.313
0.000 0.000 0.937
0.500 0.500 0.748



Record 5
Mo2OsSe (PBEsol, relaxed); DOS at the Fermi energy = 0.66 states/eV/atom; symmetry = Pmmm, No. 47
1.0
3.036 0.000 0.000
0.000 4.405 0.000
0.000 0.000 4.474
Mo Os Se
2 1 1
direct
0.500 0.500 0.000
0.000 0.000 0.000
0.500 0.000 0.500
0.000 0.500 0.500



Record 6
SiMoOs2 (PBEsol, relaxed); DOS at the Fermi energy = 0.61 states/eV/atom; symmetry = Immm, No. 71
1.0
2.847 0.000 0.000
0.000 4.414 0.000
-1.423 -2.207 4.365
Os Si Mo
2 1 1
direct
0.778 0.778 0.556
0.222 0.222 0.444
0.500 0.000 0.000
0.000 0.500 0.000



Record 7
SiMoOs2 (PBEsol, relaxed); DOS at the Fermi energy = 0.71 states/eV/atom; symmetry = P4/mmm, No. 123
1.0
2.864 0.000 0.000
0.000 2.864 0.000
0.000 0.000 6.646
Mo Si Os
1 1 2
direct
0.500 0.500 0.500
0.500 0.500 0.000
0.000 0.000 0.780
0.000 0.000 0.220



Record 8
SiMoOs2 (PBEsol, relaxed); DOS at the Fermi energy = 0.91 states/eV/atom; symmetry = I-4m2, No. 119
1.0
-2.539 -2.576 0.830
1.884 -0.864 3.078
-1.782 4.463 0.107
Os Si Mo
2 1 1
direct
0.750 0.250 0.500
0.000 0.000 0.000
0.500 0.500 0.000
0.250 0.750 0.500



The following total magnetic moment values (in μB per atom) correspond, in order, to the records above: 0.00; 0.00; 0.00; 0.00; 0.00; 0.00; 0.00; 0.00.
The following ΔE_f (raw) values (in eV per atom) correspond, in order, to the records above: 0.296; 0.277; 0.624; -0.041; 0.367; -0.193; -0.240; 0.014.